This record from Alexandria describes a geometry-optimized K8Sr structure. The functional is PBE.

Cell and atoms, written as POSCAR:
```
K8Sr
1.0
-4.440 -1.785 -1.387
2.854 -8.535 -7.099
-2.052 -8.013 7.935
K Sr
8 1
direct
0.335 0.331 0.000
0.000 0.330 0.670
0.335 0.000 0.331
0.330 0.670 0.670
0.665 0.669 0.000
0.000 0.670 0.330
0.670 0.330 0.330
0.665 0.000 0.669
0.000 0.000 0.000
```

Results
The density of states at the Fermi level comes out at 6.22 states/eV/f.u. As for the symmetry: No. 139. The formation energy from the elements comes out at 0.04 eV per atom. The calculation puts the calculated volume at 69.30 Å³ per atom.